1.
This record from the Alexandria database describes an optimized crystal structure of Pm8Al2Zn. The functional is PBE.

a b c (Å): 18.787 5.208 6.850
angles (deg): 90.00 103.99 90.00
Space group C2/m (No. 12)
Asymmetric unit:
Pm 0.018 0.000 0.272 x4
Pm 0.095 0.500 0.965 x4
Pm 0.157 0.500 0.468 x4
Pm 0.206 0.000 0.797 x4
Al 0.185 0.000 0.239 x4
Zn 0.000 0.500 0.500 x2

Total magnetic moment (μB per cell): 0.000
Polymorph energy (0 for the lowest one) (eV per atom): 0.000
Volume (Å³/f.u.): 325.17
ΔE_f (eV per atom): -0.160

2.
This record from the Alexandria database describes an optimized crystal structure of BeBS2Cl. The functional is PBE.

a b c (Å): 3.997 3.997 6.852
angles (deg): 90.00 90.00 90.00
Space group P4/mmm (No. 123)
Asymmetric unit:
Be 0.000 0.000 0.000 x1
B 0.500 0.500 0.500 x1
S 0.000 0.500 0.000 x2
Cl 0.000 0.000 0.500 x1

Total magnetic moment (μB per cell): 0.000
Polymorph energy (0 for the lowest one) (eV per atom): 0.051
Volume (Å³/f.u.): 109.49

3.
This record from the Alexandria database describes an optimized crystal structure of SmBe2Cu9. The functional is PBE.

a b c (Å): 9.898 9.898 6.352
angles (deg): 90.00 90.00 90.00
Space group I4_1/amd (No. 141, origin choice 2)
Asymmetric unit:
Sm 0.000 0.250 0.375 x4
Be 0.000 0.000 0.000 x8
Cu 0.000 0.250 0.875 x4
Cu 0.123 0.047 0.692 x32

Total magnetic moment (μB per cell): 0.000
Volume (Å³/f.u.): 155.58
ΔE_f (eV per atom): -0.113